[1]
Compound: Dy3Mg3Ga2Pt
Source: OQMD via LeMat-Bulk
Functional: PBE
Structure: relaxed

## Properties
* total DFT energy (no corrections): -4.051 eV per atom

abc: 7.2935 7.2935 4.3346
angles: 90.00 90.00 120.00
Space group P-62m (No. 189)
Symmetry-distinct sites (fractional):
Dy 0.0000 0.5897 0.0000 (multiplicity 3)
Mg 0.0000 0.2394 0.5000 (multiplicity 3)
Ga 0.3333 0.6667 0.5000 (multiplicity 2)
Pt 0.0000 0.0000 0.0000 (multiplicity 1)



[2]
Compound: RbCoGeS3
Source: OQMD via LeMat-Bulk
Functional: PBE
Structure: relaxed

## Properties
* total DFT energy (no corrections): -4.717 eV per atom

abc: 8.245 3.566 10.039
angles: 90.00 112.38 90.00
Space group P2_1/m (No. 11)
Symmetry-distinct sites (fractional):
Rb 0.220 0.250 0.248 (multiplicity 2)
Co 0.377 0.750 0.854 (multiplicity 2)
Ge 0.137 0.250 0.562 (multiplicity 2)
S 0.172 0.250 0.803 (multiplicity 2)
S 0.350 0.750 0.611 (multiplicity 2)
S 0.434 0.750 0.088 (multiplicity 2)